Entry 1:
Material: K2AcNdO4
Method: DFT, PBE
State: optimized geometry

The structure in extended XYZ format:
```
8
Lattice="-2.4379 2.7705 0.6739 -4.5325 -4.3851 1.6312 3.4490 1.7017 5.4814" Properties=species:S:1:pos:R:3 pbc="T T T"
K 0.5056 2.2361 3.0776
K -0.5417 -1.3417 3.5563
Ac 0.0000 0.0000 0.0000
Nd -3.4852 -0.8073 1.1525
O -1.6490 0.6523 1.7949
O -1.8724 -0.5651 5.9916
O 1.5275 0.1562 4.8838
O -2.6109 -2.8396 2.2288
```

Entry 2:
Material: KAc2NdS4
Method: DFT, PBE
State: optimized geometry

The structure in extended XYZ format:
```
8
Lattice="4.2654 0.0000 0.0000 0.0000 7.3246 -0.1237 0.0000 2.5984 7.0384" Properties=species:S:1:pos:R:3 pbc="T T T"
K 2.1327 3.6623 -0.0618
Ac 0.0000 2.5984 7.0384
Ac 2.1327 1.2992 3.5192
Nd 0.0000 4.9614 3.4574
S 0.0001 7.4365 5.0945
S 4.2654 2.4865 1.8202
S 2.1328 6.1175 1.7420
S 2.1327 3.8055 5.1728
```

Entry 3:
Material: K4Ac3NdS8
Method: DFT, PBE
State: optimized geometry

The structure in extended XYZ format:
```
16
Lattice="8.7535 0.0000 0.0000 0.0000 8.9706 0.1453 -4.3767 -4.3710 6.1923" Properties=species:S:1:pos:R:3 pbc="T T T"
K 4.3767 0.0000 0.0000
K 2.1884 -2.1855 3.0962
K 0.0000 0.0000 0.0000
K -2.1884 -2.1855 3.0962
Ac 4.3767 4.4853 0.0726
Ac 2.1884 2.2998 3.1688
Ac -2.1884 2.2998 3.1688
Nd 0.0000 4.4853 0.0726
S -2.2538 2.0964 6.1642
S 0.0000 4.3473 2.9756
S 0.0000 0.2657 3.2792
S 2.2538 2.0964 6.1642
S 2.1229 2.5032 0.1734
S 4.3767 4.3339 3.0584
S 4.3767 0.2522 3.3620
S 6.6305 2.5032 0.1734
```

Taking the records one at a time from the top gives formation energy from raw total energies values of -2577, -1891, -1878 meV per atom.
Taking the records one at a time from the top gives DOS(E_F) values of 0.0, 2.8, 0.0 states/eV/f.u..